1.
An optimized crystal structure of CeSmPdPb, computed with PBE.

It has space group F-43m (No. 216), with a = 7.549 Å, b = 7.549 Å, c = 7.549 Å, α = 90.00°, β = 90.00° and γ = 90.00°. The asymmetric unit holds Ce at (0.000, 0.000, 0.000), Sm at (0.000, 0.000, 0.500), Pd at (0.250, 0.250, 0.750) and Pb at (0.250, 0.250, 0.250).



2.
An optimized crystal structure of PmAlGe2Pd4, computed with PBE.

It has space group R-3m (No. 166, hexagonal axes), with a = 4.3223 Å, b = 4.3223 Å, c = 26.2353 Å, α = 90.00°, β = 90.00° and γ = 120.00°. The asymmetric unit holds Pm at (0.0000, 0.0000, 0.0000), Al at (0.0000, 0.0000, 0.5000), Ge at (0.0000, 0.0000, 0.2539), Pd at (0.0000, 0.0000, 0.1370) and Pd at (0.0000, 0.0000, 0.4066).



no.,formation energy (eV per formula unit),density of states at the Fermi level (states/eV/f.u.)
1,-1.94,9.12
2,-5.61,4.57